Material: Tb3Nd
Method: DFT, GGA-PBEsol
State: optimized geometry

Calculated values
DOS(E_F)   1.66 states/eV/atom
Formation energy   24 meV per atom
Distance to the lowest polymorph of the same formula   0.27 kcal/mol of atoms

Unit cell a=7.1235 b=7.1235 c=5.6495 alpha=90.00 beta=90.00 gamma=120.00
Space group P6_3/mmc (No. 194)
One atom of each set of equivalent atoms:
Tb1 0.1664 0.3327 0.2500
Nd1 0.3333 0.6667 0.7500